# SrScS2Cl PBE relaxed
# * total moment: 0.0208 μB per atom
# * formation energy (no corrections): -0.553 eV per atom
# * energy above the lowest structure with this stoichiometry: 1.3340 eV/atom
data_SrScS2Cl
_chemical_formula_sum 'Sr1 Sc1 S2 Cl1'
_cell_length_a 5.477
_cell_length_b 5.477
_cell_length_c 5.211
_cell_angle_alpha 90.00
_cell_angle_beta 90.00
_cell_angle_gamma 90.00
_symmetry_space_group_name_H-M 'P 4/m m m'
_symmetry_Int_Tables_number 123
_symmetry_space_group_name_Hall '-P 4 2'
loop_
_atom_site_label
_atom_site_type_symbol
_atom_site_fract_x
_atom_site_fract_y
_atom_site_fract_z
_atom_site_occupancy
Sr1 Sr 0.000 0.000 0.000 1
Sc1 Sc 0.500 0.500 0.500 1
S1 S 0.000 0.500 0.000 1
Cl1 Cl 0.000 0.000 0.500 1

# TbNd3Bi4 PBE relaxed
# * total moment: 0.0000 μB per atom
# * formation energy: -929 meV/atom
# * energy above the lowest structure with this stoichiometry: 0.0029 eV/atom
data_TbNd3Bi4
_chemical_formula_sum 'Tb2 Nd6 Bi8'
_cell_length_a 9.161
_cell_length_b 12.956
_cell_length_c 4.583
_cell_angle_alpha 90.00
_cell_angle_beta 90.00
_cell_angle_gamma 90.00
_symmetry_space_group_name_H-M 'C m m m'
_symmetry_Int_Tables_number 65
_symmetry_space_group_name_Hall '-C 2 2'
loop_
_atom_site_label
_atom_site_type_symbol
_atom_site_fract_x
_atom_site_fract_y
_atom_site_fract_z
_atom_site_occupancy
Tb1 Tb 0.000 0.000 0.000 1
Nd1 Nd 0.000 0.500 0.000 1
Nd2 Nd 0.250 0.250 0.500 1
Bi1 Bi 0.000 0.247 0.000 1
Bi2 Bi 0.245 0.000 0.500 1

# TiMnReAg2 PBE relaxed
# * total moment: 0.0005 μB per atom
# * formation energy: 1839 meV/atom
data_TiMnReAg2
_chemical_formula_sum 'Ti1 Mn1 Re1 Ag2'
_cell_length_a 4.787
_cell_length_b 4.787
_cell_length_c 3.949
_cell_angle_alpha 90.00
_cell_angle_beta 90.00
_cell_angle_gamma 90.00
_symmetry_space_group_name_H-M 'P 4/m m m'
_symmetry_Int_Tables_number 123
_symmetry_space_group_name_Hall '-P 4 2'
loop_
_atom_site_label
_atom_site_type_symbol
_atom_site_fract_x
_atom_site_fract_y
_atom_site_fract_z
_atom_site_occupancy
Ti1 Ti 0.000 0.000 0.000 1
Mn1 Mn 0.000 0.000 0.500 1
Re1 Re 0.500 0.500 0.500 1
Ag1 Ag 0.000 0.500 0.000 1

Here are the calculated DOS(E_F) numbers, same order: 0.8371 0.1485 1.3431 (states/eV/atom).
Here are the calculated VASP energy numbers, same order: -20.88 -83.78 -26.02 (eV/cell).